Record 1
VASP calculation (PBE-GGA) on a relaxed K7Na3 crystal.

Calculated values
* DFT total energy: -1.1444 eV/atom
* space-group type: C2/m
* Fermi-level density of states: 0.68 states/eV/atom
* formation energy: 2 kJ/mol of atoms

abc: 6.6070 8.6961 11.5575
angles: 106.91 106.61 90.00
Last column: nearest neighbours and their distance in Å.
Fractional coordinates of all 10 atoms:
K: 0.0000 0.5000 0.0000  4 Na 4.11-4.35, 4 K 4.50
K: 0.7959 0.8570 0.5917  5 Na 4.10-4.45, 5 K 4.47-4.49
K: 0.2041 0.1430 0.4083  5 Na 4.10-4.45, 5 K 4.47-4.49
K: 0.6195 0.3599 0.2389  3 Na 4.13-4.17, 7 K 4.35-4.62
K: 0.3805 0.6401 0.7611  3 Na 4.13-4.17, 7 K 4.35-4.62
K: 0.5915 0.8427 0.1830  4 Na 4.31-4.63, 8 K 4.35-4.50
K: 0.4085 0.1573 0.8170  4 Na 4.31-4.63, 8 K 4.35-4.50
Na: 0.0000 0.0000 0.0000  12 K 4.31-4.76
Na: 0.8053 0.3531 0.6105  8 K 4.10-4.45
Na: 0.1947 0.6469 0.3895  8 K 4.10-4.45



Record 2
VASP calculation (PBE-GGA) on a relaxed K13Na2 crystal.

Calculated values
* DFT total energy: -0.9944 eV/atom
* space-group type: R-3m
* Fermi-level density of states: 0.81 states/eV/atom
* formation energy: 13 kJ/mol of atoms

abc: 11.7642 11.7642 12.6858
angles: 62.38 62.38 60.00
Last column: nearest neighbours and their distance in Å.
Fractional coordinates of all 15 atoms:
K: 0.5000 0.5000 0.5000  12 K 4.38-4.39
K: 0.1293 0.5237 0.8233  2 K 4.05-4.38, 1 Na 4.14
K: 0.5237 0.5237 0.8233  2 K 4.05-4.38, 1 Na 4.14
K: 0.5237 0.1293 0.8233  2 K 4.05-4.38, 1 Na 4.14
K: 0.4763 0.8707 0.1767  2 K 4.05-4.38, 1 Na 4.14
K: 0.8707 0.4763 0.1767  2 K 4.05-4.38, 1 Na 4.14
K: 0.4763 0.4763 0.1767  2 K 4.05-4.38, 1 Na 4.14
K: 0.1009 0.7370 0.4250  8 K 4.28-4.62, 1 Na 4.56
K: 0.7370 0.7370 0.4250  8 K 4.28-4.62, 1 Na 4.56
K: 0.7370 0.1009 0.4250  8 K 4.28-4.62, 1 Na 4.56
K: 0.2630 0.8991 0.5750  8 K 4.28-4.62, 1 Na 4.56
K: 0.8991 0.2630 0.5750  8 K 4.28-4.62, 1 Na 4.56
K: 0.2630 0.2630 0.5750  8 K 4.28-4.62, 1 Na 4.56
Na: 0.7390 0.7390 0.7829  6 K 4.14-4.56
Na: 0.2610 0.2610 0.2171  6 K 4.14-4.56



Question: What is the formation energy in the second record?
Answer: 13 kJ/mol of atoms



Question: Which of these has the highest formation energy?
Answer: K13Na2



Question: What is the Fermi-level density of states in the first record?
Answer: 0.68 states/eV/atom